Entry 1:
A plane-wave DFT calculation with GGA-PBE was carried out for an optimized crystal structure of EuZnSi.

Summary:
The value obtained for the uncorrected formation energy is -107 meV/atom. The value obtained for the total moment is 7.00 μB per cell.

Cell and atoms, written as POSCAR:
```
EuZnSi
1.0
-3.362 0.588 0.242
-0.571 -3.366 0.238
2.411 1.697 5.190
Eu Si Zn
1 1 1
Direct
0.614 0.614 0.229 Eu
0.922 0.922 0.845 Si
0.313 0.313 0.627 Zn
```



Entry 2:
A plane-wave DFT calculation with GGA-PBE was carried out for an optimized crystal structure of Hg3ICl.

Summary:
The value obtained for the uncorrected formation energy is 112 meV/atom. The value obtained for the total moment is 0.00 μB per cell.

Cell and atoms, written as POSCAR:
```
Hg3ICl
1.0
-3.589 2.538 -3.576
2.705 -2.356 -4.387
-3.452 -4.485 0.281
Hg I Cl
3 1 1
Direct
0.000 0.000 0.500 Hg
0.500 0.000 0.000 Hg
0.000 0.500 0.000 Hg
0.500 0.500 0.500 I
0.000 0.000 0.000 Cl
```



Question: Which of these has the highest total moment?
Answer: EuZnSi